1.
First-principles (PBE-GGA) data for an optimized crystal structure of TlP4Ir, as listed in the Alexandria database.

```
data_TlP4Ir
_chemical_formula_sum 'Tl4 P16 Ir4'
_symmetry_space_group_name_H-M 'F -4 3 m'
_symmetry_Int_Tables_number 216
_symmetry_space_group_name_Hall 'F -4 2 3'
_cell_length_a 7.6270
_cell_length_b 7.6270
_cell_length_c 7.6270
_cell_angle_alpha 90.00
_cell_angle_beta 90.00
_cell_angle_gamma 90.00
loop_
_atom_site_label
_atom_site_type_symbol
_atom_site_fract_x
_atom_site_fract_y
_atom_site_fract_z
Tl1 Tl 0.0000 0.0000 0.0000
P1 P 0.1432 0.1432 0.3568
Ir1 Ir 0.2500 0.2500 0.7500
```

Results
- ΔH_f (0 K) (eV per atom) = 0.8640
- density (g/cm3) = 7.79

---

2.
First-principles (PBE-GGA) data for an optimized crystal structure of Tl2PIr, as listed in the Alexandria database.

```
data_Tl2PIr
_chemical_formula_sum 'Tl4 P2 Ir2'
_symmetry_space_group_name_H-M 'I m m 2'
_symmetry_Int_Tables_number 44
_cell_length_a 3.3329
_cell_length_b 4.4977
_cell_length_c 13.0850
_cell_angle_alpha 90.00
_cell_angle_beta 90.00
_cell_angle_gamma 90.00
loop_
_symmetry_equiv_pos_as_xyz
'x,y,z'
'-x,-y,z'
'-x,y,z'
'x,-y,z'
'x+1/2,y+1/2,z+1/2'
'-x+1/2,-y+1/2,z+1/2'
'-x+1/2,y+1/2,z+1/2'
'x+1/2,-y+1/2,z+1/2'
loop_
_atom_site_label
_atom_site_type_symbol
_atom_site_fract_x
_atom_site_fract_y
_atom_site_fract_z
Tl1 Tl 0.0000 0.0000 0.0000
Tl2 Tl 0.0000 0.5000 0.1982
P1 P 0.0000 0.0000 0.3859
Ir1 Ir 0.0000 0.5000 0.7712
```

Results
- polymorph energy (0 for the lowest one) (eV/f.u.) = 0.86
- ΔH_f (0 K) (eV per atom) = 0.1305
- density (g/cm3) = 10.70

---

3.
First-principles (PBE-GGA) data for an optimized crystal structure of TlP2IrW, as listed in the Alexandria database.

```
data_TlP2IrW
_chemical_formula_sum 'Tl1 P2 Ir1 W1'
_symmetry_space_group_name_H-M 'P 4/m m m'
_symmetry_Int_Tables_number 123
_symmetry_space_group_name_Hall '-P 4 2'
_cell_length_a 4.7814
_cell_length_b 4.7814
_cell_length_c 5.1569
_cell_angle_alpha 90.00
_cell_angle_beta 90.00
_cell_angle_gamma 90.00
loop_
_atom_site_label
_atom_site_type_symbol
_atom_site_fract_x
_atom_site_fract_y
_atom_site_fract_z
Tl1 Tl 0.0000 0.0000 0.0000
P1 P 0.0000 0.5000 0.0000
Ir1 Ir 0.5000 0.5000 0.5000
W1 W 0.0000 0.0000 0.5000
```

Results
- ΔH_f (0 K) (eV per atom) = 2.8319
- density (g/cm3) = 9.05

---

4.
First-principles (PBE-GGA) data for an optimized crystal structure of TmP2Ir4, as listed in the Alexandria database.

```
data_TmP2Ir4
_chemical_formula_sum 'Tm2 P4 Ir8'
_symmetry_space_group_name_H-M 'P 42/m n m'
_symmetry_Int_Tables_number 136
_symmetry_space_group_name_Hall '-P 4n 2n'
_cell_length_a 7.6197
_cell_length_b 7.6197
_cell_length_c 3.7307
_cell_angle_alpha 90.00
_cell_angle_beta 90.00
_cell_angle_gamma 90.00
loop_
_atom_site_label
_atom_site_type_symbol
_atom_site_fract_x
_atom_site_fract_y
_atom_site_fract_z
Tm1 Tm 0.0000 0.0000 0.0000
P1 P 0.2348 0.2348 0.5000
Ir1 Ir 0.0665 0.6805 0.5000
```

Results
- ΔH_f (0 K) (eV per atom) = -0.6610
- density (g/cm3) = 15.33

---

5.
First-principles (PBE-GGA) data for an optimized crystal structure of Tm2P2Ir5, as listed in the Alexandria database.

```
data_Tm2P2Ir5
_chemical_formula_sum 'Tm2 P2 Ir5'
_symmetry_space_group_name_H-M 'P 4/m m m'
_symmetry_Int_Tables_number 123
_symmetry_space_group_name_Hall '-P 4 2'
_cell_length_a 4.0914
_cell_length_b 4.0914
_cell_length_c 8.6583
_cell_angle_alpha 90.00
_cell_angle_beta 90.00
_cell_angle_gamma 90.00
loop_
_atom_site_label
_atom_site_type_symbol
_atom_site_fract_x
_atom_site_fract_y
_atom_site_fract_z
Tm1 Tm 0.0000 0.0000 0.0000
Tm2 Tm 0.0000 0.0000 0.5000
P1 P 0.5000 0.5000 0.1330
Ir1 Ir 0.0000 0.5000 0.2603
Ir2 Ir 0.5000 0.5000 0.5000
```

Results
- ΔH_f (0 K) (eV per atom) = -0.9083
- density (g/cm3) = 15.59

---

6.
First-principles (PBE-GGA) data for an optimized crystal structure of TmP2Ir3, as listed in the Alexandria database.

```
data_TmP2Ir3
_chemical_formula_sum 'Tm6 P12 Ir18'
_symmetry_space_group_name_H-M 'C 1 2/m 1'
_symmetry_Int_Tables_number 12
_cell_length_a 15.9075
_cell_length_b 3.8675
_cell_length_c 9.6934
_cell_angle_alpha 90.00
_cell_angle_beta 107.57
_cell_angle_gamma 90.00
loop_
_symmetry_equiv_pos_as_xyz
'x,y,z'
'-x,-y,-z'
'-x,y,-z'
'x,-y,z'
'x+1/2,y+1/2,z'
'-x+1/2,-y+1/2,-z'
'-x+1/2,y+1/2,-z'
'x+1/2,-y+1/2,z'
loop_
_atom_site_label
_atom_site_type_symbol
_atom_site_fract_x
_atom_site_fract_y
_atom_site_fract_z
Tm1 Tm 0.0000 0.0000 0.0000
Tm2 Tm 0.1521 0.0000 0.6893
P1 P 0.0412 0.5000 0.7780
P2 P 0.1354 0.5000 0.4516
P3 P 0.2013 0.0000 0.1357
Ir1 Ir 0.0000 0.5000 0.5000
Ir2 Ir 0.0398 0.0000 0.3178
Ir3 Ir 0.1307 0.5000 0.2059
Ir4 Ir 0.1758 0.5000 0.9443
Ir5 Ir 0.2262 0.0000 0.3939
```

Results
- ΔH_f (0 K) (eV per atom) = -0.8573
- density (g/cm3) = 14.15